# Ce4GaAg

A geometry-optimized Ce4GaAg structure (GGA-PBE, the Alexandria database).

Cell and atoms, written as CIF:
```
data_Ce4GaAg
_symmetry_space_group_name_H-M 'C 1 2/c 1'
_symmetry_Int_Tables_number 15
_cell_length_a 6.1805
_cell_length_b 17.0020
_cell_length_c 5.2854
_cell_angle_alpha 90.00
_cell_angle_beta 90.15
_cell_angle_gamma 90.00
loop_
_symmetry_equiv_pos_as_xyz
'x,y,z'
'-x,-y,-z'
'-x,y,-z+1/2'
'x,-y,z+1/2'
'x+1/2,y+1/2,z'
'-x+1/2,-y+1/2,-z'
'-x+1/2,y+1/2,-z+1/2'
'x+1/2,-y+1/2,z+1/2'
loop_
_atom_site_label
_atom_site_fract_x
_atom_site_fract_y
_atom_site_fract_z
_atom_site_occupancy
Ce1 0.2302 0.1338 0.2539 1
Ce2 0.2494 0.0396 0.7158 1
Ga1 0.0000 0.2045 0.7500 1
Ag1 0.0000 0.2965 0.2500 1
```

Properties
final energy: -5.036 eV/atom
DFT formation energy: -58.3 kJ/mol of formula units